{"formula": "InFeRu2", "functional": "GGA-PBE", "state": "optimized geometry", "spacegroup": "No. 44", "total_magnetization_mub_per_fu": 3.225, "ef_mev_per_atom": 254, "rho_g_cm3": 10.26, "vol_a3_per_cell": 60.4, "dos_at_fermi_per_ev_fu": 4.76, "cell": [[5.167, 0.046, -0.032], [2.328, 4.613, 0.032], [-3.272, -3.094, 2.534]], "species": ["Fe", "In", "Ru", "Ru"], "fractional_positions": [[0.491, 0.491, 0.000], [0.743, 0.243, 0.500], [0.006, 0.006, 0.000], [0.260, 0.760, 0.500]]}